Below is a relaxed structure of NaGaWO5, with properties calculated at the GGA+U level.

CIF file:
```
data_NaGaWO5
_symmetry_space_group_name_H-M 'P 1'
_symmetry_Int_Tables_number 1
_cell_length_a 5.741
_cell_length_b 5.741
_cell_length_c 7.523
_cell_angle_alpha 105.36
_cell_angle_beta 105.36
_cell_angle_gamma 104.59
loop_
_symmetry_equiv_pos_as_xyz
'x,y,z'
loop_
_atom_site_label
_atom_site_fract_x
_atom_site_fract_y
_atom_site_fract_z
Na1 0.175 0.825 0.750
Na2 0.825 0.175 0.250
Ga1 0.183 0.817 0.250
Ga2 0.817 0.183 0.750
W1 0.500 0.500 0.000
W2 0.500 0.500 0.500
O1 0.154 0.260 0.905
O2 0.214 0.613 0.403
O3 0.260 0.154 0.405
O4 0.387 0.786 0.097
O5 0.441 0.559 0.750
O6 0.559 0.441 0.250
O7 0.613 0.214 0.903
O8 0.740 0.846 0.595
O9 0.786 0.387 0.597
O10 0.846 0.740 0.095
```

Its total energy is -6.52 eV/atom. As for the mass density: 5.47 g/cm3. The space group is C2/c (15).